Te4MoPt | PBE | optimized geometry

Properties
Formation energy from raw total energies   -0.171 eV/atom
Polymorph energy (0 for the lowest one)   0.0 meV/atom
E   -0.187 Ha/atom

Geometry as POSCAR:
```
Te4MoPt
1.0
-2.950 1.981 -1.192
0.299 -5.618 -4.193
-3.519 -2.388 4.737
Te Mo Pt
4 1 1
Direct
0.854 0.707 0.585
0.105 0.211 0.375
0.395 0.791 0.132
0.645 0.292 0.889
0.498 0.996 0.564
0.002 0.004 0.956
```

***

Te2MoPt | PBE | optimized geometry

Properties
Formation energy from raw total energies   0.134 eV/atom
Polymorph energy (0 for the lowest one)   247.0 meV/atom
E   -0.208 Ha/atom

Geometry as POSCAR:
```
Te2MoPt
1.0
10.245 0.027 0.016
9.706 3.278 0.016
9.706 1.608 2.857
Mo Pt Te
1 1 2
Direct
0.492 0.492 0.492
0.760 0.760 0.760
0.025 0.025 0.025
0.224 0.224 0.224
```

***

TeMo2Pt | PBE | optimized geometry

Properties
Formation energy from raw total energies   0.286 eV/atom
E   -0.273 Ha/atom

Geometry as POSCAR:
```
TeMo2Pt
1.0
-0.444 1.631 3.699
-3.069 -0.530 -0.135
-1.111 -5.450 2.269
Mo Pt Te
2 1 1
Direct
0.000 0.883 0.037
0.000 0.617 0.463
0.500 0.250 0.250
0.500 0.750 0.750
```

***

Te2MoPt | PBE | optimized geometry

Properties
Formation energy from raw total energies   0.076 eV/atom
Polymorph energy (0 for the lowest one)   189.4 meV/atom
E   -0.210 Ha/atom

Geometry as POSCAR:
```
Te2MoPt
1.0
3.158 0.000 0.000
0.000 3.158 0.000
0.000 0.000 9.165
Mo Pt Te
1 1 2
Direct
0.000 0.000 0.521
0.500 0.500 0.710
0.000 0.000 0.932
0.500 0.500 0.338
```

***

Te2MoPt | PBE | optimized geometry

Properties
Formation energy from raw total energies   0.023 eV/atom
Polymorph energy (0 for the lowest one)   136.3 meV/atom
E   -0.212 Ha/atom

Geometry as POSCAR:
```
Te2MoPt
1.0
-6.184 1.419 -0.532
-5.976 -1.609 1.498
0.223 2.185 3.235
Mo Pt Te
1 1 2
Direct
0.436 0.436 0.625
0.266 0.266 0.125
0.035 0.035 0.125
0.763 0.763 0.625
```

***

TeMoPt3 | PBE | optimized geometry

Properties
Formation energy from raw total energies   1.185 eV/atom
Polymorph energy (0 for the lowest one)   132.3 meV/atom
E   -0.192 Ha/atom

Geometry as POSCAR:
```
TeMoPt3
1.0
4.917 0.000 0.000
0.000 4.917 0.000
0.000 0.000 4.917
Mo Te Pt
1 1 3
Direct
0.500 0.500 0.500
0.000 0.000 0.000
0.000 0.500 0.000
0.000 0.000 0.500
0.500 0.000 0.000
```

***

Te2MoPt | PBE | optimized geometry

Properties
Formation energy from raw total energies   0.643 eV/atom
Polymorph energy (0 for the lowest one)   756.8 meV/atom
E   -0.189 Ha/atom

Geometry as POSCAR:
```
Te2MoPt
1.0
2.832 -8.325 -0.056
3.973 -7.111 -3.313
5.964 -6.454 -0.315
Mo Te Pt
1 2 1
Direct
0.000 0.000 0.000
0.899 0.899 0.899
0.101 0.101 0.101
0.500 0.500 0.500
```

***

Te2MoPt | PBE | optimized geometry

Properties
Formation energy from raw total energies   0.147 eV/atom
Polymorph energy (0 for the lowest one)   260.8 meV/atom
E   -0.207 Ha/atom

Geometry as POSCAR:
```
Te2MoPt
1.0
8.062 0.000 0.000
7.309 3.404 0.000
7.309 1.618 2.994
Mo Pt Te
1 1 2
Direct
0.250 0.250 0.250
0.750 0.750 0.750
0.999 0.999 0.999
0.501 0.501 0.501
```

***

Te2MoPt | PBE | optimized geometry

Properties
Formation energy from raw total energies   -0.113 eV/atom
Polymorph energy (0 for the lowest one)   0.0 meV/atom
E   -0.217 Ha/atom

Geometry as POSCAR:
```
Te2MoPt
1.0
4.159 0.000 0.000
0.000 4.159 -0.120
0.000 0.104 6.513
Mo Pt Te
1 1 2
Direct
0.000 0.375 0.625
0.500 0.875 0.625
0.000 0.880 0.884
0.500 0.370 0.366
```

***

Te4MoPt | PBE | optimized geometry

Properties
Formation energy from raw total energies   1.266 eV/atom
Polymorph energy (0 for the lowest one)   1436.9 meV/atom
E   -0.134 Ha/atom

Geometry as POSCAR:
```
Te4MoPt
1.0
0.979 -4.115 4.415
3.298 1.520 4.919
-2.730 0.638 5.434
Te Mo Pt
4 1 1
Direct
0.878 0.374 0.374
0.374 0.374 0.878
0.374 0.878 0.374
0.374 0.374 0.374
0.750 0.750 0.750
0.000 0.000 0.000
```

***

TeMo2Pt | PBE | optimized geometry

Properties
Formation energy from raw total energies   0.241 eV/atom
E   -0.275 Ha/atom

Geometry as POSCAR:
```
TeMo2Pt
1.0
4.955 0.008 -0.047
3.853 3.116 -0.047
0.679 0.241 4.696
Mo Pt Te
2 1 1
Direct
0.987 0.987 0.050
0.513 0.513 0.450
0.250 0.250 0.250
0.750 0.750 0.750
```

***

TeMo2Pt | PBE | optimized geometry

Properties
Formation energy from raw total energies   0.858 eV/atom
E   -0.252 Ha/atom

Geometry as POSCAR:
```
TeMo2Pt
1.0
-1.683 -2.861 4.900
-4.381 -2.593 -3.019
0.521 -7.146 -0.420
Mo Te Pt
4 2 2
Direct
0.657 0.125 0.250
0.093 0.625 0.250
0.375 0.343 0.750
0.875 0.907 0.750
0.500 0.500 0.000
0.250 0.750 0.500
0.000 0.000 0.000
0.750 0.250 0.500
```